(1)
# CdCSe2 PBE optimized geometry
data_CdCSe2
_symmetry_space_group_name_H-M 'F m -3 m'
_symmetry_Int_Tables_number 225
_symmetry_space_group_name_Hall '-F 4 2 3'
_cell_length_a 6.646
_cell_length_b 6.646
_cell_length_c 6.646
_cell_angle_alpha 90.00
_cell_angle_beta 90.00
_cell_angle_gamma 90.00
loop_
_atom_site_label
_atom_site_type_symbol
_atom_site_fract_x
_atom_site_fract_y
_atom_site_fract_z
_atom_site_occupancy
Cd1 Cd 0.000 0.000 0.000 1
C1 C 0.000 0.000 0.500 1
Se1 Se 0.250 0.250 0.250 1
# DOS at the Fermi energy = 2.57 states/eV/f.u.
# E_form (uncorrected) = 1.510 eV/atom
# Volume = 293.6 Å³ per cell
# Total moment = 0.000 μB/cell
# Relative energy among the computed polymorphs = 0.859 eV/atom

(2)
# Tb2Pm2Y15 PBE optimized geometry
data_Tb2Pm2Y15
_symmetry_space_group_name_H-M 'R -3 m'
_symmetry_Int_Tables_number 166
_symmetry_space_group_name_Hall '-R 3 2"'
_cell_length_a 11.2708
_cell_length_b 11.2708
_cell_length_c 17.7801
_cell_angle_alpha 90.00
_cell_angle_beta 90.00
_cell_angle_gamma 120.00
loop_
_atom_site_label
_atom_site_type_symbol
_atom_site_fract_x
_atom_site_fract_y
_atom_site_fract_z
_atom_site_occupancy
Tb1 Tb 0.0000 0.0000 0.0957 1
Pm1 Pm 0.0000 0.0000 0.3242 1
Y1 Y 0.0000 0.2988 0.0000 1
Y2 Y 0.0000 0.5000 0.5000 1
Y3 Y 0.0125 0.5062 0.1368 1
# DOS at the Fermi energy = 39.31 states/eV/f.u.
# E_form = 290 meV/atom
# Volume = 1956.0 Å³ per cell
# Total moment = 0.019 μB/cell

(3)
# Li2HoNpCl8 PBE optimized geometry
data_Li2HoNpCl8
_symmetry_space_group_name_H-M 'P -1'
_symmetry_Int_Tables_number 2
_cell_length_a 6.311
_cell_length_b 6.400
_cell_length_c 8.048
_cell_angle_alpha 90.40
_cell_angle_beta 90.40
_cell_angle_gamma 94.57
loop_
_symmetry_equiv_pos_as_xyz
'x,y,z'
'-x,-y,-z'
loop_
_atom_site_label
_atom_site_type_symbol
_atom_site_fract_x
_atom_site_fract_y
_atom_site_fract_z
_atom_site_occupancy
Li1 Li 0.001 0.001 0.258 1
Ho1 Ho 0.500 0.500 0.500 1
Np1 Np 0.500 0.500 0.000 1
Cl1 Cl 0.198 0.179 0.005 1
Cl2 Cl 0.205 0.188 0.502 1
Cl3 Cl 0.294 0.682 0.259 1
Cl4 Cl 0.297 0.686 0.741 1
# DOS at the Fermi energy = 5.46 states/eV/f.u.
# E_form (uncorrected) = -1.901 eV/atom
# Volume = 324.0 Å³ per cell
# Total moment = 4.000 μB/cell